Record 1
BeCoP after structural relaxation, computed with GGA-PBE.

a = 6.402 Å, b = 6.560 Å, c = 6.560 Å
α = 55.26°, β = 60.79°, γ = 60.79°
Positions (direct):
Be 0.910 0.250 0.750
Be 0.261 0.941 0.441
Be 0.910 0.750 0.250
Be 0.644 0.059 0.559
Be 0.261 0.441 0.941
Be 0.644 0.559 0.059
Co 0.614 0.645 0.645
Co 0.255 0.250 0.750
Co 0.904 0.855 0.855
Co 0.614 0.145 0.145
Co 0.255 0.750 0.250
Co 0.904 0.355 0.355
P 0.260 0.849 0.849
P 0.260 0.349 0.349
P 0.958 0.151 0.151
P 0.505 0.500 0.500
P 0.505 0.000 0.000
P 0.958 0.651 0.651

Summary:
DOS(E_F) = 0.2775 states/eV per atom
excess energy over the best structure of this formula in the dataset = 29 meV/atom
final energy = -0.4203 Ry/atom
calculated formation energy = -0.305 eV per atom
SG = No. 38
calculated volume = 10.50 A^3/atom

***

Record 2
BeCo2P after structural relaxation, computed with GGA-PBE.

a = 3.618 Å, b = 3.618 Å, c = 4.393 Å
α = 65.68°, β = 65.68°, γ = 60.00°
Last column: magnetic moment on the atom in μB.
Positions (direct):
Co 0.271 0.271 0.186  0.30
Co 0.063 0.063 0.811  0.24
Be 0.487 0.487 0.539  -0.01
P 0.679 0.679 0.963  -0.01

Summary:
DOS(E_F) = 0.9941 states/eV per atom
excess energy over the best structure of this formula in the dataset = 223 meV/atom
final energy = -0.4448 Ry/atom
calculated formation energy = -0.215 eV per atom
SG = No. 160
calculated volume = 10.95 A^3/atom

***

Record 3
Be2CoP after structural relaxation, computed with GGA-PBE.

a = 3.949 Å, b = 3.949 Å, c = 3.975 Å
α = 82.10°, β = 82.10°, γ = 38.63°
Positions (direct):
P 0.241 0.241 0.263
Be 0.003 0.003 0.983
Be 0.753 0.753 0.760
Co 0.503 0.503 0.494

Summary:
DOS(E_F) = 0.2771 states/eV per atom
final energy = -0.3781 Ry/atom
calculated formation energy = -0.152 eV per atom
SG = No. 8
calculated volume = 9.57 A^3/atom

***

Q: Which formula does entry 1 have?
A: BeCoP

***

Q: Among the records above, which one has the lowest calculated formation energy?
A: BeCoP

***

Q: Number 2 is which compound?
A: BeCo2P

***

Q: What is the calculated formation energy in the third record?
A: -0.152 eV per atom